Density functional theory data (PBE+U) for an optimized crystal structure of NbNiN2O.

```
NbNiN2O
1.0
3.870 0.000 0.000
0.000 3.870 0.000
0.000 0.000 3.342
Nb Ni N O
1 1 2 1
Direct
0.000 0.000 0.000
0.500 0.500 0.000
0.000 0.500 0.500
0.500 0.000 0.500
0.500 0.500 0.500
```

Calculated values
VASP energy	-28.2	eV per cell